# 1
First-principles (GGA-PBE) data for a relaxed AcNpRh2O8 crystal, as listed in the Alexandria database.

Crystal system   monoclinic
ρ   7.9 Mg/m³
DOS at the Fermi energy   0.875 states/eV/atom
Uncorrected formation energy   -1.813 eV per atom
Magnetic moment   0.3 μB/f.u.

Cell lengths 4.906, 6.929, 4.907 Å; angles 90.00, 91.99, 90.00 degrees
Space group P2/m (No. 10)
Unique sites:
Ac1 0.000 0.000 0.000
Np1 0.000 0.500 0.000
Rh1 0.500 0.256 0.500
O1 0.207 0.289 0.203
O2 0.317 0.500 0.679
O3 0.333 0.000 0.659

# 2
First-principles (GGA-PBE) data for a relaxed Ac2NpRu3O12 crystal, as listed in the Alexandria database.

Crystal system   trigonal
ρ   8.2 Mg/m³
DOS at the Fermi energy   0.868 states/eV/atom
Uncorrected formation energy   -1.843 eV per atom
Magnetic moment   5.1 μB/f.u.

Cell lengths 7.2111, 7.2111, 15.9762 Å; angles 90.00, 90.00, 120.00 degrees
Space group R-3m (No. 166, hexagonal axes)
Unique sites:
Ac1 0.0000 0.0000 0.1176
Np1 0.0000 0.0000 0.5000
Ru1 0.0000 0.5000 0.0000
O1 0.0321 0.5161 0.8763
O2 0.0641 0.5321 0.3127

# 3
First-principles (GGA-PBE) data for a relaxed AcNpSO2 crystal, as listed in the Alexandria database.

Crystal system   tetragonal
ρ   9.0 Mg/m³
DOS at the Fermi energy   1.622 states/eV/atom
Uncorrected formation energy   -2.597 eV per atom
Magnetic moment   4.0 μB/f.u.

Cell lengths 3.940, 3.940, 12.587 Å; angles 90.00, 90.00, 90.00 degrees
Space group I4mm (No. 107)
Unique sites:
Ac1 0.000 0.000 0.000
Np1 0.000 0.000 0.711
S1 0.000 0.000 0.357
O1 0.000 0.500 0.117

# 4
First-principles (GGA-PBE) data for a relaxed AcNp2SbO8 crystal, as listed in the Alexandria database.

Crystal system   monoclinic
ρ   8.1 Mg/m³
DOS at the Fermi energy   0.591 states/eV/atom
Uncorrected formation energy   -2.639 eV per atom
Magnetic moment   4.0 μB/f.u.

Cell lengths 5.222, 7.163, 5.240 Å; angles 90.00, 91.83, 90.00 degrees
Space group P2/m (No. 10)
Unique sites:
Ac1 0.000 0.000 0.000
Np1 0.500 0.256 0.500
Sb1 0.000 0.500 0.000
O1 0.214 0.268 0.216
O2 0.317 0.500 0.684
O3 0.331 0.000 0.671